Record 1
DFT (PBE) results for a relaxed La2PmNd6 crystal.

```
La2PmNd6
1.0
8.288 0.000 0.000
0.000 8.288 0.000
0.000 0.000 10.631
Pm La Nd
2 4 12
Direct
0.000 0.000 0.000 Pm
0.500 0.500 0.500 Pm
0.000 0.000 0.350 La
0.000 0.000 0.650 La
0.500 0.500 0.150 La
0.500 0.500 0.850 La
0.738 0.738 0.000 Nd
0.236 0.764 0.169 Nd
0.262 0.262 0.000 Nd
0.264 0.264 0.669 Nd
0.762 0.238 0.500 Nd
0.736 0.736 0.669 Nd
0.736 0.736 0.331 Nd
0.764 0.236 0.831 Nd
0.264 0.264 0.331 Nd
0.236 0.764 0.831 Nd
0.238 0.762 0.500 Nd
0.764 0.236 0.169 Nd
```

Output
ΔH_f (0 K): 0.5945 eV per atom
E_tot: -4.207 eV/atom
Space-group type: No. 136


Record 2
DFT (PBE) results for a relaxed La5Pm3Nd crystal.

```
La5Pm3Nd
1.0
8.976 0.000 0.000
0.000 8.976 0.000
-4.488 -4.488 8.045
La Nd Pm
10 2 6
Direct
0.500 0.500 0.000 La
0.562 0.661 0.723 La
0.062 0.562 0.723 La
0.839 0.938 0.277 La
0.161 0.062 0.723 La
0.000 0.000 0.000 La
0.938 0.438 0.277 La
0.438 0.339 0.277 La
0.339 0.839 0.277 La
0.661 0.161 0.723 La
0.250 0.750 0.500 Nd
0.750 0.250 0.500 Nd
0.119 0.381 0.000 Pm
0.750 0.750 0.500 Pm
0.619 0.119 0.000 Pm
0.250 0.250 0.500 Pm
0.881 0.619 0.000 Pm
0.381 0.881 0.000 Pm
```

Output
ΔH_f (0 K): 0.2386 eV per atom
E_tot: -4.612 eV/atom
Space-group type: No. 140


Record 3
DFT (PBE) results for a relaxed La2Pm2Nd5 crystal.

```
La2Pm2Nd5
1.0
-2.997 1.920 0.149
0.104 0.944 -10.056
-3.445 -9.293 7.853
Nd Pm La
5 2 2
Direct
0.000 0.000 0.000 Nd
0.330 0.198 0.660 Nd
0.823 0.520 0.647 Nd
0.670 0.802 0.340 Nd
0.177 0.480 0.353 Nd
0.164 0.100 0.328 Pm
0.836 0.900 0.672 Pm
0.495 0.679 0.990 La
0.505 0.321 0.010 La
```

Output
ΔH_f (0 K): 0.1236 eV per atom
E_tot: -4.676 eV/atom
Space-group type: No. 12


Record 4
DFT (PBE) results for a relaxed La12PmNd6 crystal.

```
La12PmNd6
1.0
0.762 -7.394 5.255
6.689 -0.666 -7.163
9.097 -0.167 3.704
Nd Pm La
6 1 12
Direct
0.632 0.211 0.316 Nd
0.948 0.316 0.472 Nd
0.420 0.472 0.211 Nd
0.052 0.684 0.528 Nd
0.580 0.528 0.789 Nd
0.368 0.789 0.684 Nd
0.000 0.000 0.000 Pm
0.157 0.053 0.579 La
0.684 0.894 0.843 La
0.473 0.157 0.738 La
0.789 0.262 0.894 La
0.843 0.947 0.421 La
0.736 0.579 0.368 La
0.897 0.632 0.947 La
0.264 0.421 0.632 La
0.527 0.843 0.262 La
0.316 0.106 0.157 La
0.103 0.368 0.053 La
0.211 0.738 0.106 La
```

Output
ΔH_f (0 K): 0.0146 eV per atom
E_tot: -4.853 eV/atom
Space-group type: No. 148


Record 5
DFT (PBE) results for a relaxed La4Pm5Nd3 crystal.

```
La4Pm5Nd3
1.0
6.136 0.000 0.000
3.068 7.762 -2.884
3.068 -0.820 9.439
Nd Pm La
3 5 4
Direct
0.000 0.500 0.500 Nd
0.484 0.308 0.725 Nd
0.516 0.692 0.275 Nd
0.220 0.452 0.109 Pm
0.500 0.500 0.500 Pm
0.780 0.548 0.891 Pm
0.625 0.948 0.802 Pm
0.375 0.052 0.198 Pm
0.856 0.227 0.060 La
0.166 0.046 0.622 La
0.834 0.954 0.378 La
0.144 0.773 0.940 La
```

Output
ΔH_f (0 K): 0.1877 eV per atom
E_tot: -4.626 eV/atom
Space-group type: No. 12


Record 6
DFT (PBE) results for a relaxed La5Pm2Nd4 crystal.

```
La5Pm2Nd4
1.0
3.519 0.000 -0.858
-0.423 8.756 -1.736
1.166 1.463 12.423
Pm La Nd
2 5 4
Direct
0.413 0.304 0.827 Pm
0.587 0.696 0.173 Pm
0.817 0.526 0.633 La
0.500 0.000 0.000 La
0.183 0.474 0.367 La
0.132 0.051 0.264 La
0.868 0.949 0.736 La
0.041 0.346 0.081 Nd
0.959 0.654 0.919 Nd
0.727 0.825 0.454 Nd
0.273 0.175 0.546 Nd
```

Output
ΔH_f (0 K): 0.0894 eV per atom
E_tot: -4.748 eV/atom
Space-group type: No. 12